Entry 1:
A plane-wave DFT calculation with GGA-PBE was carried out for TbNd12Sm7 after structural relaxation.

- energy relative to the elements (eV/atom) = 0.23
- E (eV per cell) = -271.03
- volume (Å³/atom) = 35.44

The structure in CIF format:
```
data_TbNd12Sm7
_cell_length_a 19.7268
_cell_length_b 19.7268
_cell_length_c 6.3102
_cell_angle_alpha 90.00
_cell_angle_beta 90.00
_cell_angle_gamma 120.00
_space_group_name_H-M_alt 'R -3 m'
_space_group_IT_number 166
_space_group_name_Hall '-R 3 2"'
loop_
_atom_site_label
_atom_site_type_symbol
_atom_site_fract_x
_atom_site_fract_y
_atom_site_fract_z
_atom_site_occupancy
Tb1 Tb 0.0000 0.0000 0.0000 1
Nd1 Nd 0.0000 0.4115 0.5000 1
Nd2 Nd 0.0967 0.5483 0.9643 1
Sm1 Sm 0.0000 0.0000 0.5000 1
Sm2 Sm 0.0828 0.1655 0.7921 1
```

Entry 2:
A plane-wave DFT calculation with GGA-PBE was carried out for BaAc2RhO5 after structural relaxation.

- E (eV per cell) = -129.99
- ΔE_f (raw) (eV/f.u.) = -22.7
- volume (Å³/atom) = 17.16

The structure in CIF format:
```
data_BaAc2RhO5
_cell_length_a 7.182
_cell_length_b 7.182
_cell_length_c 5.989
_cell_angle_alpha 90.00
_cell_angle_beta 90.00
_cell_angle_gamma 90.00
_space_group_name_H-M_alt 'P 4/m b m'
_space_group_IT_number 127
_space_group_name_Hall '-P 4 2ab'
loop_
_atom_site_label
_atom_site_type_symbol
_atom_site_fract_x
_atom_site_fract_y
_atom_site_fract_z
_atom_site_occupancy
Ba1 Ba 0.000 0.000 0.000 1
Ac1 Ac 0.175 0.325 0.500 1
Rh1 Rh 0.000 0.500 0.000 1
O1 O 0.000 0.000 0.500 1
O2 O 0.139 0.639 0.242 1
```

Entry 3:
A plane-wave DFT calculation with GGA-PBE was carried out for Tb2Nd2Rh15 after structural relaxation.

- energy relative to the elements (eV/atom) = -0.35
- E (eV per cell) = -407.14
- volume (Å³/atom) = 17.28

The structure in CIF format:
```
data_Tb2Nd2Rh15
_cell_length_a 9.1742
_cell_length_b 9.1742
_cell_length_c 13.5152
_cell_angle_alpha 90.00
_cell_angle_beta 90.00
_cell_angle_gamma 120.00
_space_group_name_H-M_alt 'R -3 m'
_space_group_IT_number 166
_space_group_name_Hall '-R 3 2"'
loop_
_atom_site_label
_atom_site_type_symbol
_atom_site_fract_x
_atom_site_fract_y
_atom_site_fract_z
_atom_site_occupancy
Tb1 Tb 0.0000 0.0000 0.1093 1
Nd1 Nd 0.0000 0.0000 0.3586 1
Rh1 Rh 0.0000 0.3066 0.0000 1
Rh2 Rh 0.0000 0.5000 0.5000 1
Rh3 Rh 0.0070 0.5035 0.1535 1
```

Entry 4:
A plane-wave DFT calculation with GGA-PBE was carried out for CuAg2Sn after structural relaxation.

- energy relative to the elements (eV/atom) = 0.36
- E (eV per cell) = -37.06
- volume (Å³/atom) = 20.11

The structure in CIF format:
```
data_CuAg2Sn
_cell_length_a 3.0066
_cell_length_b 3.0066
_cell_length_c 30.8201
_cell_angle_alpha 90.00
_cell_angle_beta 90.00
_cell_angle_gamma 120.00
_space_group_name_H-M_alt 'R -3 m'
_space_group_IT_number 166
_space_group_name_Hall '-R 3 2"'
loop_
_atom_site_label
_atom_site_type_symbol
_atom_site_fract_x
_atom_site_fract_y
_atom_site_fract_z
_atom_site_occupancy
Cu1 Cu 0.0000 0.0000 0.0000 1
Ag1 Ag 0.0000 0.0000 0.0827 1
Sn1 Sn 0.0000 0.0000 0.5000 1
```

Entry 5:
A plane-wave DFT calculation with GGA-PBE was carried out for LiSm3Ni8 after structural relaxation.

- energy relative to the elements (eV/atom) = -0.33
- E (eV per cell) = -198.96
- volume (Å³/atom) = 15.11

The structure in CIF format:
```
data_LiSm3Ni8
_cell_length_a 5.0345
_cell_length_b 5.0345
_cell_length_c 24.7829
_cell_angle_alpha 90.00
_cell_angle_beta 90.00
_cell_angle_gamma 120.00
_space_group_name_H-M_alt 'R 3 m'
_space_group_IT_number 160
_space_group_name_Hall 'R 3 -2"'
loop_
_atom_site_label
_atom_site_type_symbol
_atom_site_fract_x
_atom_site_fract_y
_atom_site_fract_z
_atom_site_occupancy
Li1 Li 0.0000 0.0000 0.0000 1
Sm1 Sm 0.0000 0.0000 0.1211 1
Sm2 Sm 0.0000 0.0000 0.5078 1
Sm3 Sm 0.0000 0.0000 0.6369 1
Ni1 Ni 0.0000 0.0000 0.3184 1
Ni2 Ni 0.0000 0.0000 0.8177 1
Ni3 Ni 0.0003 0.5001 0.5689 1
Ni4 Ni 0.0036 0.5018 0.0670 1
```

Entry 6:
A plane-wave DFT calculation with GGA-PBE was carried out for CeDyPt after structural relaxation.

- energy relative to the elements (eV/atom) = -0.68
- E (eV per cell) = -74.44
- volume (Å³/atom) = 27.98

The structure in CIF format:
```
data_CeDyPt
_cell_length_a 6.951
_cell_length_b 6.951
_cell_length_c 6.951
_cell_angle_alpha 90.00
_cell_angle_beta 90.00
_cell_angle_gamma 90.00
_space_group_name_H-M_alt 'F -4 3 m'
_space_group_IT_number 216
_space_group_name_Hall 'F -4 2 3'
loop_
_atom_site_label
_atom_site_type_symbol
_atom_site_fract_x
_atom_site_fract_y
_atom_site_fract_z
_atom_site_occupancy
Ce1 Ce 0.000 0.000 0.000 1
Dy1 Dy 0.000 0.000 0.500 1
Pt1 Pt 0.250 0.250 0.750 1
```

Entry 7:
A plane-wave DFT calculation with GGA-PBE was carried out for PuFeTcSn after structural relaxation.

- energy relative to the elements (eV/atom) = -0.05
- E (eV per cell) = -149.47
- volume (Å³/atom) = 17.55

The structure in CIF format:
```
data_PuFeTcSn
_cell_length_a 6.549
_cell_length_b 6.549
_cell_length_c 6.549
_cell_angle_alpha 90.00
_cell_angle_beta 90.00
_cell_angle_gamma 90.00
_space_group_name_H-M_alt 'F -4 3 m'
_space_group_IT_number 216
_space_group_name_Hall 'F -4 2 3'
loop_
_atom_site_label
_atom_site_type_symbol
_atom_site_fract_x
_atom_site_fract_y
_atom_site_fract_z
_atom_site_occupancy
Pu1 Pu 0.000 0.000 0.000 1
Fe1 Fe 0.250 0.250 0.250 1
Tc1 Tc 0.250 0.250 0.750 1
Sn1 Sn 0.000 0.000 0.500 1
```

Entry 8:
A plane-wave DFT calculation with GGA-PBE was carried out for Ti3CuB after structural relaxation.

- energy relative to the elements (eV/atom) = -0.05
- E (eV per cell) = -34.72
- volume (Å³/atom) = 15.18

The structure in CIF format:
```
data_Ti3CuB
_cell_length_a 4.234
_cell_length_b 4.234
_cell_length_c 4.234
_cell_angle_alpha 90.00
_cell_angle_beta 90.00
_cell_angle_gamma 90.00
_space_group_name_H-M_alt 'P m -3 m'
_space_group_IT_number 221
_space_group_name_Hall '-P 4 2 3'
loop_
_atom_site_label
_atom_site_type_symbol
_atom_site_fract_x
_atom_site_fract_y
_atom_site_fract_z
_atom_site_occupancy
Ti1 Ti 0.000 0.000 0.500 1
Cu1 Cu 0.500 0.500 0.500 1
B1 B 0.000 0.000 0.000 1
```

Entry 9:
A plane-wave DFT calculation with GGA-PBE was carried out for Zn2RuSe after structural relaxation.

- E (eV per cell) = -15.25
- ΔE_f (raw) (eV/f.u.) = 0.1
- volume (Å³/atom) = 17.17

The structure in CIF format:
```
data_Zn2RuSe
_cell_length_a 2.956
_cell_length_b 2.956
_cell_length_c 7.860
_cell_angle_alpha 90.00
_cell_angle_beta 90.00
_cell_angle_gamma 90.00
_space_group_name_H-M_alt 'P 4 m m'
_space_group_IT_number 99
_space_group_name_Hall 'P 4 -2'
loop_
_atom_site_label
_atom_site_type_symbol
_atom_site_fract_x
_atom_site_fract_y
_atom_site_fract_z
_atom_site_occupancy
Zn1 Zn 0.000 0.000 0.000 1
Zn2 Zn 0.500 0.500 0.235 1
Ru1 Ru 0.000 0.000 0.468 1
Se1 Se 0.500 0.500 0.643 1
```

Entry 10:
A plane-wave DFT calculation with GGA-PBE was carried out for V2GaMo2Ru5 after structural relaxation.

- energy relative to the elements (eV/atom) = 0.09
- E (eV per cell) = -176.89
- volume (Å³/atom) = 14.77

The structure in CIF format:
```
data_V2GaMo2Ru5
_cell_length_a 10.015
_cell_length_b 10.015
_cell_length_c 2.945
_cell_angle_alpha 90.00
_cell_angle_beta 90.00
_cell_angle_gamma 90.00
_space_group_name_H-M_alt 'P 4/m b m'
_space_group_IT_number 127
_space_group_name_Hall '-P 4 2ab'
loop_
_atom_site_label
_atom_site_type_symbol
_atom_site_fract_x
_atom_site_fract_y
_atom_site_fract_z
_atom_site_occupancy
V1 V 0.141 0.359 0.000 1
Ga1 Ga 0.000 0.000 0.000 1
Mo1 Mo 0.181 0.681 0.000 1
Ru1 Ru 0.000 0.500 0.500 1
Ru2 Ru 0.025 0.208 0.500 1
```

Entry 11:
A plane-wave DFT calculation with GGA-PBE was carried out for HPdPt2 after structural relaxation.

- E (eV per cell) = -60.80
- volume (Å³/atom) = 12.39

The structure in CIF format:
```
data_HPdPt2
_cell_length_a 2.8075
_cell_length_b 2.8075
_cell_length_c 21.7762
_cell_angle_alpha 90.00
_cell_angle_beta 90.00
_cell_angle_gamma 120.00
_space_group_name_H-M_alt 'R -3 m'
_space_group_IT_number 166
_space_group_name_Hall '-R 3 2"'
loop_
_atom_site_label
_atom_site_type_symbol
_atom_site_fract_x
_atom_site_fract_y
_atom_site_fract_z
_atom_site_occupancy
H1 H 0.0000 0.0000 0.0000 1
Pd1 Pd 0.0000 0.0000 0.5000 1
Pt1 Pt 0.0000 0.0000 0.2732 1
```

Entry 12:
A plane-wave DFT calculation with GGA-PBE was carried out for Mg9Cd2Ga after structural relaxation.

- energy relative to the elements (eV/atom) = -0.07
- E (eV per cell) = -20.07
- volume (Å³/atom) = 21.53

The structure in CIF format:
```
data_Mg9Cd2Ga
_cell_length_a 4.395
_cell_length_b 4.395
_cell_length_c 13.373
_cell_angle_alpha 90.00
_cell_angle_beta 90.00
_cell_angle_gamma 90.00
_space_group_name_H-M_alt 'P 4/m m m'
_space_group_IT_number 123
_space_group_name_Hall '-P 4 2'
loop_
_atom_site_label
_atom_site_type_symbol
_atom_site_fract_x
_atom_site_fract_y
_atom_site_fract_z
_atom_site_occupancy
Mg1 Mg 0.000 0.000 0.000 1
Mg2 Mg 0.000 0.000 0.331 1
Mg3 Mg 0.000 0.500 0.162 1
Mg4 Mg 0.000 0.500 0.500 1
Cd1 Cd 0.500 0.500 0.330 1
Ga1 Ga 0.500 0.500 0.000 1
```

Repeat the seventh record exactly.
A plane-wave DFT calculation with GGA-PBE was carried out for PuFeTcSn after structural relaxation.

- energy relative to the elements (eV/atom) = -0.05
- E (eV per cell) = -149.47
- volume (Å³/atom) = 17.55

The structure in CIF format:
```
data_PuFeTcSn
_cell_length_a 6.549
_cell_length_b 6.549
_cell_length_c 6.549
_cell_angle_alpha 90.00
_cell_angle_beta 90.00
_cell_angle_gamma 90.00
_space_group_name_H-M_alt 'F -4 3 m'
_space_group_IT_number 216
_space_group_name_Hall 'F -4 2 3'
loop_
_atom_site_label
_atom_site_type_symbol
_atom_site_fract_x
_atom_site_fract_y
_atom_site_fract_z
_atom_site_occupancy
Pu1 Pu 0.000 0.000 0.000 1
Fe1 Fe 0.250 0.250 0.250 1
Tc1 Tc 0.250 0.250 0.750 1
Sn1 Sn 0.000 0.000 0.500 1
```

What is the E in the eleventh record? -60.80 eV per cell

E of number 2 (BaAc2RhO5)? -129.99 eV per cell